No. 1
A plane-wave DFT calculation with PBE-GGA was carried out for a relaxed structure of SmDyIrAu.

Summary:
DOS(E_F), states/eV per atom: 0.86
DFT formation energy, eV/atom: -0.769
Crystal system: cubic
Final energy, Ry/atom: -0.45085

a = 7.0971 Å, b = 7.0971 Å, c = 7.0971 Å
α = 90.00°, β = 90.00°, γ = 90.00°
With the nearest neighbours (Å) after each atom.
Space group F-43m (No. 216)
Asymmetric unit:
Sm: 0.0000 0.0000 0.0000  4 Ir 3.07, 4 Au 3.07
Dy: 0.0000 0.0000 0.5000  4 Au 3.07, 4 Ir 3.07
Ir: 0.2500 0.2500 0.7500  4 Dy 3.07, 4 Sm 3.07
Au: 0.2500 0.2500 0.2500  4 Dy 3.07, 4 Sm 3.07

---

No. 2
A plane-wave DFT calculation with PBE-GGA was carried out for a relaxed structure of LaTb3Tl.

Summary:
DOS(E_F), states/eV per atom: 1.73
DFT formation energy, eV/atom: 0.381
Crystal system: trigonal
Final energy, Ry/atom: -0.28339

a = 9.9614 Å, b = 9.9614 Å, c = 6.5265 Å
α = 90.00°, β = 90.00°, γ = 120.00°
With the nearest neighbours (Å) after each atom.
Space group R-3m (No. 166, hexagonal axes)
Asymmetric unit:
La: 0.0000 0.0000 0.0000  2 Tl 3.26, 6 Tb 3.61
Tb: 0.0000 0.5000 0.0000  2 Tl 3.07
Tl: 0.0000 0.0000 0.5000  6 Tb 3.07, 2 La 3.26